Hf3SbRu | PBE | optimized geometry Values from VASP.

VASP energy = -8.567 eV/atom
ΔE to the lowest computed polymorph = 0.000 eV/f.u.
Space-group type = Pm-3m (221)

```
&SYSTEM
  ibrav = 0, nat = 5, ntyp = 3
/
ATOMIC_SPECIES
Hf 178.49 Hf.upf
Sb 121.76 Sb.upf
Ru 101.07 Ru.upf
ATOMIC_POSITIONS crystal
Hf 0.000 0.000 0.500
Hf 0.000 0.500 0.000
Hf 0.500 0.000 0.000
Sb 0.500 0.500 0.500
Ru 0.000 0.000 0.000
CELL_PARAMETERS angstrom
4.962 0.000 0.000
0.000 4.962 0.000
0.000 0.000 4.962
```

---

HfSbRu | PBE | optimized geometry Values from VASP.

VASP energy = -8.148 eV/atom
Space-group type = P2_1/m (11)

```
&SYSTEM
  ibrav = 0, nat = 18, ntyp = 3
/
ATOMIC_SPECIES
Hf 178.49 Hf.upf
Sb 121.76 Sb.upf
Ru 101.07 Ru.upf
ATOMIC_POSITIONS crystal
Hf 0.023 0.250 0.102
Hf 0.141 0.250 0.451
Hf 0.376 0.750 0.819
Hf 0.624 0.250 0.181
Hf 0.859 0.750 0.549
Hf 0.977 0.750 0.898
Sb 0.083 0.250 0.704
Sb 0.338 0.750 0.092
Sb 0.441 0.750 0.392
Sb 0.559 0.250 0.608
Sb 0.662 0.250 0.908
Sb 0.917 0.750 0.296
Ru 0.242 0.250 0.926
Ru 0.272 0.750 0.590
Ru 0.317 0.250 0.266
Ru 0.683 0.750 0.734
Ru 0.728 0.250 0.410
Ru 0.758 0.750 0.074
CELL_PARAMETERS angstrom
7.121 0.000 0.000
0.000 4.208 0.000
-1.854 0.000 11.884
```

---

Hf6SbRu | PBE | optimized geometry Values from VASP.

VASP energy = -9.333 eV/atom
Space-group type = C2/m (12)

```
&SYSTEM
  ibrav = 0, nat = 16, ntyp = 3
/
ATOMIC_SPECIES
Hf 178.49 Hf.upf
Sb 121.76 Sb.upf
Ru 101.07 Ru.upf
ATOMIC_POSITIONS crystal
Hf 0.109 0.232 0.253
Hf 0.109 0.768 0.253
Hf 0.237 0.000 0.951
Hf 0.263 0.500 0.049
Hf 0.391 0.268 0.747
Hf 0.391 0.732 0.747
Hf 0.609 0.268 0.253
Hf 0.609 0.732 0.253
Hf 0.737 0.500 0.951
Hf 0.763 0.000 0.049
Hf 0.891 0.232 0.747
Hf 0.891 0.768 0.747
Sb 0.000 0.500 0.500
Sb 0.500 0.000 0.500
Ru 0.000 0.000 0.500
Ru 0.500 0.500 0.500
CELL_PARAMETERS angstrom
6.111 0.000 0.000
0.000 9.837 0.000
-0.821 0.000 5.532
```

---

HfSb3Ru | PBE | optimized geometry Values from VASP.

VASP energy = -5.646 eV/atom
ΔE to the lowest computed polymorph = 0.000 eV/f.u.
Space-group type = Pm-3m (221)

```
&SYSTEM
  ibrav = 0, nat = 5, ntyp = 3
/
ATOMIC_SPECIES
Hf 178.49 Hf.upf
Sb 121.76 Sb.upf
Ru 101.07 Ru.upf
ATOMIC_POSITIONS crystal
Hf 0.000 0.000 0.000
Sb 0.000 0.500 0.500
Sb 0.500 0.000 0.500
Sb 0.500 0.500 0.000
Ru 0.500 0.500 0.500
CELL_PARAMETERS angstrom
5.095 0.000 0.000
0.000 5.095 0.000
0.000 0.000 5.095
```

---

Number 1: total magnetization 0.0 μB per cell, formation energy without anion corrections 0.085 eV per atom. Number 2: total magnetization 0.0 μB per cell, formation energy without anion corrections -0.364 eV per atom. Number 3: total magnetization 0.0 μB per cell, formation energy without anion corrections -0.193 eV per atom. Number 4: total magnetization 0.0 μB per cell, formation energy without anion corrections 0.674 eV per atom.